1.
Be2AlHg | the Alexandria database | PBE-GGA | relaxed; total DFT energy (no corrections) = -2.527 eV per atom; magnetization = 0.0 μB/cell; density of states at the Fermi level = 0.96 states/eV/cell
1.0
-1.9782 -3.0337 -1.4152
-0.2156 -1.2307 2.9395
-4.0396 1.6485 2.1128
Be Al Hg
2 1 1
Cartesian
-4.0477 1.3977 2.6617 Be
-2.0046 -1.1876 0.0061 Be
-4.4650 -1.1237 3.3084 Al
-1.8835 0.1552 2.3001 Hg

***

2.
BeIn2P | the Alexandria database | PBE-GGA | relaxed; total DFT energy (no corrections) = -3.438 eV per atom; magnetization = 0.0 μB/cell; density of states at the Fermi level = 1.18 states/eV/cell
1.0
-2.8134 0.7377 -1.4523
1.1411 -2.8342 -1.1109
-4.2072 -4.0768 6.0794
In P Be
2 1 1
Cartesian
-3.9632 -3.8403 5.7268 In
-2.0178 -2.1933 0.4259 In
-2.4647 -2.3883 3.5615 P
-3.7446 -3.8665 2.9211 Be

***

3.
Be5Cu | the Alexandria database | PBE-GGA | relaxed; total DFT energy (no corrections) = -3.811 eV per atom; magnetization = 0.0 μB/cell; density of states at the Fermi level = 1.51 states/eV/cell
1.0
-3.8920 1.9852 0.3953
-3.3427 1.2454 2.5535
1.2964 5.0832 1.4127
Be Cu
5 1
Cartesian
-0.0140 0.0203 0.0105 Be
-6.0798 6.1321 3.6496 Be
-1.9720 2.7936 1.4596 Be
-3.9426 5.5048 2.8906 Be
-4.0329 3.4038 2.1933 Be
-0.7842 5.7011 2.1540 Cu

***

4.
Y2BHPt6 | the Alexandria database | PBE-GGA | relaxed; total DFT energy (no corrections) = -6.742 eV per atom; magnetization = 0.0 μB/cell; density of states at the Fermi level = 1.98 states/eV/cell
1.0
6.2494 0.0014 -0.3148
0.0114 5.8312 0.0077
-3.3594 -2.9060 4.4611
Pt H Y B
6 1 2 1
Cartesian
1.3600 -1.4349 4.2075 Pt
1.3643 1.4712 4.2120 Pt
-1.5696 1.5326 4.1727 Pt
-0.0955 0.0103 2.1462 Pt
3.3117 2.9284 1.8874 Pt
-1.5769 -1.5133 4.1626 Pt
2.0484 2.9066 0.6269 H
0.1280 2.9251 1.9967 Y
2.9728 0.0125 2.0036 Y
-3.2737 2.9268 4.4296 B

***

5.
Ca2Ru2I | the Alexandria database | PBE-GGA | relaxed; total DFT energy (no corrections) = -4.466 eV per atom; magnetization = 0.0 μB/cell; energy relative to the elements, uncorrected = 0.355 eV per atom; density of states at the Fermi level = 5.41 states/eV/cell
1.0
5.7556 0.0000 0.0000
0.0000 5.7556 0.0000
2.8778 2.8778 3.8826
Ru I Ca
2 1 2
Cartesian
2.8778 2.8778 1.1591 Ru
5.7556 5.7556 2.7235 Ru
0.0000 0.0000 0.0000 I
5.7556 2.8778 1.9413 Ca
2.8778 5.7556 1.9413 Ca

***

6.
HgSeCl2 | the Alexandria database | PBE-GGA | relaxed; total DFT energy (no corrections) = -1.662 eV per atom; magnetization = 0.0 μB/cell; energy relative to the elements, uncorrected = 0.208 eV per atom; density of states at the Fermi level = 3.17 states/eV/cell
1.0
3.4236 0.0000 0.0000
0.0000 3.4236 0.0000
0.0000 0.0000 8.4353
Cl Hg Se
2 1 1
Cartesian
1.7118 1.7118 2.7175 Cl
0.0000 0.0000 7.8650 Cl
0.0000 0.0000 4.2744 Hg
1.7118 1.7118 6.2313 Se

***

7.
BeTcBMo | the Alexandria database | PBE-GGA | relaxed; total DFT energy (no corrections) = -8.240 eV per atom; magnetization = 0.0 μB/cell; density of states at the Fermi level = 2.24 states/eV/cell
1.0
3.1229 0.0000 0.0000
0.0000 3.1629 0.0000
-1.5614 0.0000 4.3140
Tc B Be Mo
1 1 1 1
Cartesian
1.5614 1.5814 3.0546 Tc
0.0000 0.0000 3.7615 B
1.5614 1.5814 0.5475 Be
0.0000 0.0000 1.2644 Mo

***

8.
Ca2BeO | the Alexandria database | PBE-GGA | relaxed; total DFT energy (no corrections) = -3.443 eV per atom; magnetization = 0.0 μB/cell; energy relative to the elements, uncorrected = -0.271 eV per atom; density of states at the Fermi level = 5.02 states/eV/cell
1.0
0.3238 -0.2266 4.7164
-2.3901 3.0773 2.6867
-3.7012 -1.4686 2.5583
Ca O Be
2 1 1
Cartesian
-1.4419 0.3455 2.4903 Ca
-4.3256 1.0366 7.4710 Ca
-2.8837 0.6911 4.9807 O
0.0000 0.0000 0.0000 Be

***

9.
Mg4SeBr | the Alexandria database | PBE-GGA | relaxed; total DFT energy (no corrections) = -2.037 eV per atom; magnetization = 0.0 μB/cell; energy relative to the elements, uncorrected = -0.114 eV per atom; density of states at the Fermi level = 5.17 states/eV/cell
1.0
-5.5347 1.9508 0.4879
-2.2044 3.6495 -4.0618
-4.1335 -1.9048 -3.7367
Br Mg Se
1 4 1
Cartesian
0.0000 0.0000 0.0000 Br
-4.4636 1.3894 -2.7485 Mg
-7.2097 2.3573 -2.5064 Mg
-6.5145 0.4443 -4.6025 Mg
-5.5573 3.2001 -4.7638 Mg
-8.9044 2.7717 -5.4830 Se

***

10.
RbCuSn | the Alexandria database | PBE-GGA | relaxed; total DFT energy (no corrections) = -2.927 eV per atom; magnetization = 0.0 μB/cell; density of states at the Fermi level = 2.81 states/eV/cell
1.0
-3.3520 -4.8357 -0.0924
2.5584 -1.8340 3.1718
-3.5614 2.4469 1.1396
Rb Sn Cu
1 1 1
Cartesian
-1.7147 -3.6288 2.4328 Rb
-0.5574 -0.8041 -0.0154 Sn
-2.0828 0.2101 1.8015 Cu

***

11.
KAu2Cl | the Alexandria database | PBE-GGA | relaxed; total DFT energy (no corrections) = -2.611 eV per atom; magnetization = 0.0 μB/cell; energy relative to the elements, uncorrected = -0.236 eV per atom; density of states at the Fermi level = 2.31 states/eV/cell
1.0
-4.6619 -0.3294 -5.2989
3.6965 -4.8497 3.5689
-2.1504 -0.2360 1.9066
Au K Cl
2 1 1
Cartesian
0.0000 0.0000 0.0000 Au
-0.4827 -2.5895 -0.8650 Au
0.7731 -2.5428 2.7377 K
-3.4062 -0.2827 -1.6962 Cl

***

12.
Ca5Si | the Alexandria database | PBE-GGA | relaxed; total DFT energy (no corrections) = -2.648 eV per atom; magnetization = 0.0 μB/cell; energy relative to the elements, uncorrected = -0.076 eV per atom; density of states at the Fermi level = 3.37 states/eV/cell
1.0
5.2544 0.0000 0.0000
0.0000 4.7747 0.0000
0.0000 -2.3874 7.8065
Ca Si
5 1
Cartesian
2.6272 2.3874 0.0000 Ca
0.0000 2.3874 2.1989 Ca
2.6272 0.0000 2.5253 Ca
0.0000 0.0000 5.6076 Ca
2.6272 2.3874 5.2812 Ca
0.0000 0.0000 0.0000 Si

***

What did the ninth record say?
Mg4SeBr | the Alexandria database | PBE-GGA | relaxed; total DFT energy (no corrections) = -2.037 eV per atom; magnetization = 0.0 μB/cell; energy relative to the elements, uncorrected = -0.114 eV per atom; density of states at the Fermi level = 5.17 states/eV/cell
1.0
-5.5347 1.9508 0.4879
-2.2044 3.6495 -4.0618
-4.1335 -1.9048 -3.7367
Br Mg Se
1 4 1
Cartesian
0.0000 0.0000 0.0000 Br
-4.4636 1.3894 -2.7485 Mg
-7.2097 2.3573 -2.5064 Mg
-6.5145 0.4443 -4.6025 Mg
-5.5573 3.2001 -4.7638 Mg
-8.9044 2.7717 -5.4830 Se

***

> The lowest density of states at the Fermi level belongs to which entry?

Be2AlHg